Entry from the Alexandria database: a geometry-optimized K3ZnP structure (GGA-PBE).

Summary:
**Formation energy**: 0.0477 eV/atom
**V**: 50.16 Å³ per atom
**Excess energy over the best structure of this formula in the dataset**: 0 meV/atom
**Raw total energy**: -9.738 eV for the cell shown

CIF file:
```
data_K3ZnP
_chemical_formula_sum 'K3 Zn1 P1'
_cell_length_a 6.3064
_cell_length_b 6.3064
_cell_length_c 6.3064
_cell_angle_alpha 90.00
_cell_angle_beta 90.00
_cell_angle_gamma 90.00
_space_group_name_H-M_alt 'P m -3 m'
_space_group_IT_number 221
_space_group_name_Hall '-P 4 2 3'
loop_
_atom_site_label
_atom_site_type_symbol
_atom_site_fract_x
_atom_site_fract_y
_atom_site_fract_z
_atom_site_occupancy
K1 K 0.0000 0.0000 0.5000 1
Zn1 Zn 0.5000 0.5000 0.5000 1
P1 P 0.0000 0.0000 0.0000 1
```